KGeC after structural relaxation, computed with PBE-GGA.

Unit cell a=4.2039 b=6.1669 c=7.0851 alpha=101.56 beta=106.96 gamma=109.90
Last column: nearest neighbours and their distance in Å.
Space group P-1 (No. 2)
Symmetry-distinct sites (fractional):
K  0.2349  0.1634  0.3118  4 C 2.94-3.00
Ge  0.3622  0.6137  0.1129  1 C 1.97
C  0.4595  0.9006  0.0189  1 C 1.26

Calculated values
formation energy: 0.1725 eV/atom
total magnetic moment: 0.00 μB per cell
ΔE to the lowest computed polymorph: 0.012 eV/atom
E_tot: -28.84 eV for the cell shown